## ZnSbMo (PBE)

Data for an optimized crystal structure of ZnSbMo.

Cell: 3.1548 3.1548 6.6888 Å, 90.00 90.00 120.00°
Space group P3m1 (No. 156)
Symmetry-distinct sites (fractional):
Zn 0.0000 0.0000 0.0000
Sb 0.3333 0.6667 0.6178
Mo 0.6667 0.3333 0.3030

## Properties
Energy relative to the elements, uncorrected, eV per atom: 0.38
Polymorph energy (0 for the lowest one), meV/atom: 299.9
Total moment, μB/cell: 0.000